1.
# BaLiLa2Ag | Alexandria via LeMat-Bulk | meta-GGA SCAN | single point on PBEsol structure
data_BaLiLa2Ag
_symmetry_space_group_name_H-M 'P 4/m m m'
_symmetry_Int_Tables_number 123
_symmetry_space_group_name_Hall '-P 4 2'
_cell_length_a 5.613
_cell_length_b 5.613
_cell_length_c 4.920
_cell_angle_alpha 90.00
_cell_angle_beta 90.00
_cell_angle_gamma 90.00
loop_
_atom_site_label
_atom_site_type_symbol
_atom_site_fract_x
_atom_site_fract_y
_atom_site_fract_z
_atom_site_occupancy
Ba1 Ba 0.000 0.000 0.000 1
Li1 Li 0.500 0.500 0.500 1
La1 La 0.000 0.500 0.500 1
Ag1 Ag 0.500 0.500 0.000 1
# M_tot = 0.00 Bohr magnetons per cell
# Calculated formation energy = 0.300 eV per atom
# N(E_F) = 7.1 states/eV per cell
# E = -31.6038 eV per atom


2.
# InCo2Cl | Alexandria via LeMat-Bulk | meta-GGA SCAN | single point on PBEsol structure
data_InCo2Cl
_symmetry_space_group_name_H-M 'P 4 m m'
_symmetry_Int_Tables_number 99
_cell_length_a 2.939
_cell_length_b 2.939
_cell_length_c 7.339
_cell_angle_alpha 90.00
_cell_angle_beta 90.00
_cell_angle_gamma 90.00
loop_
_symmetry_equiv_pos_as_xyz
'x,y,z'
'-y,x,z'
'-x,-y,z'
'y,-x,z'
'-x,y,z'
'y,x,z'
'x,-y,z'
'-y,-x,z'
loop_
_atom_site_label
_atom_site_type_symbol
_atom_site_fract_x
_atom_site_fract_y
_atom_site_fract_z
_atom_site_occupancy
In1 In 0.000 0.000 0.000 1
Co1 Co 0.000 0.000 0.588 1
Co2 Co 0.500 0.500 0.768 1
Cl1 Cl 0.500 0.500 0.390 1
# M_tot = 4.21 Bohr magnetons per cell
# Energy above the most stable polymorph in this dataset = 0 meV/atom
# N(E_F) = 1.1 states/eV per cell
# E = -18.8993 eV per atom